1.
# HgRuSe2, relaxed, DFT PBE-GGA
data_HgRuSe2
_chemical_formula_sum 'Hg1 Ru1 Se2'
_cell_length_a 3.7485
_cell_length_b 3.7515
_cell_length_c 8.5097
_cell_angle_alpha 90.00
_cell_angle_beta 90.60
_cell_angle_gamma 90.00
_space_group_name_H-M_alt 'P 1 m 1'
_space_group_IT_number 6
_space_group_name_Hall 'P -2y'
loop_
_atom_site_label
_atom_site_type_symbol
_atom_site_fract_x
_atom_site_fract_y
_atom_site_fract_z
Hg1 Hg 0.0000 0.0000 0.0000
Ru1 Ru 0.4888 0.5000 0.5001
Se1 Se 0.4928 0.0000 0.6649
Se2 Se 0.9847 0.5000 0.3351
# formation energy from raw total energies = 0.050 eV/atom

2.
# Si2TeIr, relaxed, DFT PBE-GGA
data_Si2TeIr
_chemical_formula_sum 'Si8 Te4 Ir4'
_cell_length_a 5.7614
_cell_length_b 5.7614
_cell_length_c 11.4972
_cell_angle_alpha 90.00
_cell_angle_beta 90.00
_cell_angle_gamma 90.00
_space_group_name_H-M_alt 'I -4 2 d'
_space_group_IT_number 122
_space_group_name_Hall 'I -4 2bw'
loop_
_atom_site_label
_atom_site_type_symbol
_atom_site_fract_x
_atom_site_fract_y
_atom_site_fract_z
Si1 Si 0.1833 0.2500 0.1250
Te1 Te 0.0000 0.0000 0.5000
Ir1 Ir 0.0000 0.0000 0.0000
# formation energy from raw total energies = 0.003 eV/atom

3.
# NaFe2Os, relaxed, DFT PBE-GGA
data_NaFe2Os
_chemical_formula_sum 'Na4 Fe8 Os4'
_cell_length_a 6.8217
_cell_length_b 6.8217
_cell_length_c 5.4250
_cell_angle_alpha 90.00
_cell_angle_beta 90.00
_cell_angle_gamma 90.00
_space_group_name_H-M_alt 'I -4 2 d'
_space_group_IT_number 122
_space_group_name_Hall 'I -4 2bw'
loop_
_atom_site_label
_atom_site_type_symbol
_atom_site_fract_x
_atom_site_fract_y
_atom_site_fract_z
Na1 Na 0.0000 0.0000 0.0000
Fe1 Fe 0.1966 0.7500 0.6250
Os1 Os 0.0000 0.0000 0.5000
# energy above the lowest structure with this stoichiometry = 1.16 eV per formula unit
# ΔE_f = 1.161 eV per atom

4.
# Li2LaYB, relaxed, DFT PBE-GGA
data_Li2LaYB
_chemical_formula_sum 'Li2 La1 Y1 B1'
_cell_length_a 5.2937
_cell_length_b 5.2937
_cell_length_c 4.6239
_cell_angle_alpha 90.00
_cell_angle_beta 90.00
_cell_angle_gamma 90.00
_space_group_name_H-M_alt 'P 4/m m m'
_space_group_IT_number 123
_space_group_name_Hall '-P 4 2'
loop_
_atom_site_label
_atom_site_type_symbol
_atom_site_fract_x
_atom_site_fract_y
_atom_site_fract_z
Li1 Li 0.0000 0.5000 0.0000
La1 La 0.0000 0.0000 0.0000
Y1 Y 0.5000 0.5000 0.5000
B1 B 0.0000 0.0000 0.5000
# ΔE_f = 0.998 eV per atom

5.
# Ac3Zn2Pd4, relaxed, DFT PBE-GGA
data_Ac3Zn2Pd4
_chemical_formula_sum 'Ac6 Zn4 Pd8'
_cell_length_a 11.7186
_cell_length_b 4.4193
_cell_length_c 9.0505
_cell_angle_alpha 90.00
_cell_angle_beta 109.42
_cell_angle_gamma 90.00
_space_group_name_H-M_alt 'C 1 2/m 1'
_space_group_IT_number 12
_space_group_name_Hall '-C 2y'
loop_
_atom_site_label
_atom_site_type_symbol
_atom_site_fract_x
_atom_site_fract_y
_atom_site_fract_z
Ac1 Ac 0.0000 0.0000 0.0000
Ac2 Ac 0.1571 0.5000 0.6788
Zn1 Zn 0.1243 0.5000 0.2927
Pd1 Pd 0.0661 0.0000 0.3946
Pd2 Pd 0.2103 0.5000 0.0657
# energy above the lowest structure with this stoichiometry = 0.00 eV per formula unit
# ΔE_f = -0.737 eV per atom

6.
# Y3CdPd5, relaxed, DFT PBE-GGA
data_Y3CdPd5
_chemical_formula_sum 'Y6 Cd2 Pd10'
_cell_length_a 8.4876
_cell_length_b 8.4876
_cell_length_c 5.8142
_cell_angle_alpha 90.00
_cell_angle_beta 90.00
_cell_angle_gamma 120.00
_space_group_name_H-M_alt 'P 63/m c m'
_space_group_IT_number 193
_space_group_name_Hall '-P 6c 2'
loop_
_atom_site_label
_atom_site_type_symbol
_atom_site_fract_x
_atom_site_fract_y
_atom_site_fract_z
Y1 Y 0.0000 0.3627 0.2500
Cd1 Cd 0.0000 0.0000 0.0000
Pd1 Pd 0.0000 0.3067 0.7500
Pd2 Pd 0.3333 0.6667 0.0000
# ΔE_f = -0.790 eV per atom

7.
# ThMn5Ge3, relaxed, DFT PBE-GGA
data_ThMn5Ge3
_chemical_formula_sum 'Th4 Mn20 Ge12'
_cell_length_a 3.9899
_cell_length_b 12.3028
_cell_length_c 11.4169
_cell_angle_alpha 90.00
_cell_angle_beta 90.00
_cell_angle_gamma 90.00
_space_group_name_H-M_alt 'C m c m'
_space_group_IT_number 63
_space_group_name_Hall '-C 2c 2'
loop_
_atom_site_label
_atom_site_type_symbol
_atom_site_fract_x
_atom_site_fract_y
_atom_site_fract_z
Th1 Th 0.0000 0.1664 0.2500
Mn1 Mn 0.0000 0.0000 0.0000
Mn2 Mn 0.0000 0.1914 0.5534
Mn3 Mn 0.0000 0.4379 0.1501
Ge1 Ge 0.0000 0.1200 0.7500
Ge2 Ge 0.0000 0.3844 0.5571
# ΔE_f = -0.201 eV per atom

8.
# HoTmPd14, relaxed, DFT PBE-GGA
data_HoTmPd14
_chemical_formula_sum 'Ho1 Tm1 Pd14'
_cell_length_a 5.7255
_cell_length_b 5.7255
_cell_length_c 7.9945
_cell_angle_alpha 90.00
_cell_angle_beta 90.00
_cell_angle_gamma 90.00
_space_group_name_H-M_alt 'P 4/m m m'
_space_group_IT_number 123
_space_group_name_Hall '-P 4 2'
loop_
_atom_site_label
_atom_site_type_symbol
_atom_site_fract_x
_atom_site_fract_y
_atom_site_fract_z
Ho1 Ho 0.0000 0.0000 0.0000
Tm1 Tm 0.5000 0.5000 0.0000
Pd1 Pd 0.0000 0.0000 0.5000
Pd2 Pd 0.0000 0.5000 0.0000
Pd3 Pd 0.0000 0.5000 0.5000
Pd4 Pd 0.2505 0.2505 0.2569
Pd5 Pd 0.5000 0.5000 0.5000
# ΔE_f = -0.430 eV per atom

Density of states at the Fermi level across the listed records, respectively: 3.102 2.066 1.365 6.673 5.172 5.168 6.314 24.134 states/eV/f.u..
DFT total energy across the listed records, respectively: -4.09 -5.71 -6.21 -3.38 -4.70 -5.93 -7.66 -5.54 eV/atom.